# Hf5Ti3In3

A geometry-optimized Hf5Ti3In3 structure (GGA-PBE, the Alexandria database).

Results
calculated total energy = -7.041 eV/atom
DFT formation energy = 0.38 eV per atom

Cell: 9.6386 9.6386 3.0210 Å, 90.00 90.00 120.00°
Space group P-62m (No. 189)
Symmetry-distinct sites (fractional):
Hf1 0.0000 0.6692 0.0000 (multiplicity 3)
Hf2 0.3333 0.6667 0.0000 (multiplicity 2)
Ti1 0.0000 0.1541 0.0000 (multiplicity 3)
In1 0.0000 0.4023 0.5000 (multiplicity 3)


# CaSbTe2I

A geometry-optimized CaSbTe2I structure (GGA-PBE, the Alexandria database).

Results
calculated total energy = -3.045 eV/atom
formation energy from raw total energies = -253 meV/atom

Cell: 5.844 5.844 5.810 Å, 90.00 90.00 90.00°
Space group P4/mmm (No. 123)
Symmetry-distinct sites (fractional):
Ca1 0.000 0.000 0.000 (multiplicity 1)
Sb1 0.500 0.500 0.500 (multiplicity 1)
Te1 0.000 0.500 0.500 (multiplicity 2)
I1 0.500 0.500 0.000 (multiplicity 1)


# LaCIO2

A geometry-optimized LaCIO2 structure (GGA-PBE, the Alexandria database).

Results
calculated total energy = -5.087 eV/atom
formation energy from raw total energies = 37 meV/atom

Cell: 4.372 4.372 4.222 Å, 90.00 90.00 90.00°
Space group P4/mmm (No. 123)
Symmetry-distinct sites (fractional):
La1 0.000 0.000 0.000 (multiplicity 1)
C1 0.500 0.500 0.500 (multiplicity 1)
I1 0.500 0.500 0.000 (multiplicity 1)
O1 0.000 0.500 0.500 (multiplicity 2)


# CeErTl

A geometry-optimized CeErTl structure (GGA-PBE, the Alexandria database).

Results
calculated total energy = -3.932 eV/atom
DFT formation energy = 0.36 eV per atom

Cell: 3.186 3.186 17.597 Å, 90.00 90.00 90.00°
Space group I4mm (No. 107)
Symmetry-distinct sites (fractional):
Ce1 0.000 0.000 0.000 (multiplicity 2)
Er1 0.000 0.000 0.825 (multiplicity 2)
Tl1 0.000 0.000 0.182 (multiplicity 2)


# BaPa2AsO8

A geometry-optimized BaPa2AsO8 structure (GGA-PBE, the Alexandria database).

Results
calculated total energy = -8.127 eV/atom
formation energy from raw total energies = -2692 meV/atom

Cell: 5.206 7.182 5.206 Å, 90.00 94.54 90.00°
Space group P2/m (No. 10)
Symmetry-distinct sites (fractional):
Ba1 0.000 0.000 0.000 (multiplicity 1)
Pa1 0.500 0.259 0.500 (multiplicity 2)
As1 0.000 0.500 0.000 (multiplicity 1)
O1 0.198 0.306 0.197 (multiplicity 4)
O2 0.318 0.500 0.681 (multiplicity 2)
O3 0.337 0.000 0.661 (multiplicity 2)


# ZnIrAu

A geometry-optimized ZnIrAu structure (GGA-PBE, the Alexandria database).

Results
calculated total energy = -4.586 eV/atom
DFT formation energy = -0.12 eV per atom

Cell: 2.799 2.799 11.949 Å, 90.00 90.00 90.00°
Space group P4/nmm (No. 129, origin choice 2)
Symmetry-distinct sites (fractional):
Zn1 0.250 0.250 0.232 (multiplicity 2)
Ir1 0.250 0.250 0.924 (multiplicity 2)
Au1 0.250 0.250 0.600 (multiplicity 2)


# Sr2Cd2In3

A geometry-optimized Sr2Cd2In3 structure (GGA-PBE, the Alexandria database).

Results
calculated total energy = -2.255 eV/atom
DFT formation energy = -0.34 eV per atom

Cell: 4.852 21.427 8.104 Å, 90.00 90.00 90.00°
Space group Cmcm (No. 63)
Symmetry-distinct sites (fractional):
Sr1 0.000 0.057 0.250 (multiplicity 4)
Sr2 0.000 0.159 0.750 (multiplicity 4)
Cd1 0.000 0.314 0.560 (multiplicity 8)
In1 0.000 0.226 0.250 (multiplicity 4)
In2 0.000 0.440 0.075 (multiplicity 8)


# Ac6P2Br3N

A geometry-optimized Ac6P2Br3N structure (GGA-PBE, the Alexandria database).

Results
calculated total energy = -5.428 eV/atom
formation energy from raw total energies = -1360 meV/atom

Cell: 7.416 12.809 8.044 Å, 90.00 107.79 90.00°
Space group C2/m (No. 12)
Symmetry-distinct sites (fractional):
Ac1 0.220 0.155 0.198 (multiplicity 8)
Ac2 0.243 0.000 0.797 (multiplicity 4)
P1 0.000 0.334 0.000 (multiplicity 4)
Br1 0.000 0.178 0.500 (multiplicity 4)
Br2 0.000 0.500 0.500 (multiplicity 2)
N1 0.000 0.000 0.000 (multiplicity 2)


# GdLuGe

A geometry-optimized GdLuGe structure (GGA-PBE, the Alexandria database).

Results
calculated total energy = -8.143 eV/atom
DFT formation energy = -0.40 eV per atom

Cell: 4.6993 4.6993 4.1287 Å, 90.00 90.00 120.00°
Space group P3m1 (No. 156)
Symmetry-distinct sites (fractional):
Gd1 0.0000 0.0000 0.0000 (multiplicity 1)
Lu1 0.3333 0.6667 0.5152 (multiplicity 1)
Ge1 0.6667 0.3333 0.3922 (multiplicity 1)


# Li2NiAu

A geometry-optimized Li2NiAu structure (GGA-PBE, the Alexandria database).

Results
calculated total energy = -3.390 eV/atom
DFT formation energy = -0.17 eV per atom

Cell: 2.770 2.770 7.161 Å, 90.00 90.00 90.00°
Space group P4/mmm (No. 123)
Symmetry-distinct sites (fractional):
Li1 0.000 0.000 0.233 (multiplicity 2)
Ni1 0.500 0.500 0.000 (multiplicity 1)
Au1 0.500 0.500 0.500 (multiplicity 1)


# NpGe2Ir3

A geometry-optimized NpGe2Ir3 structure (GGA-PBE, the Alexandria database).

Results
calculated total energy = -8.405 eV/atom
DFT formation energy = -0.28 eV per atom

Cell: 15.854 4.053 7.334 Å, 90.00 116.44 90.00°
Space group C2/m (No. 12)
Symmetry-distinct sites (fractional):
Np1 0.151 0.000 0.066 (multiplicity 4)
Ge1 0.019 0.500 0.179 (multiplicity 4)
Ge2 0.195 0.000 0.687 (multiplicity 4)
Ir1 0.038 0.000 0.373 (multiplicity 4)
Ir2 0.113 0.500 0.726 (multiplicity 4)
Ir3 0.183 0.500 0.432 (multiplicity 4)


# Nd2HfTh

A geometry-optimized Nd2HfTh structure (GGA-PBE, the Alexandria database).

Results
calculated total energy = -6.528 eV/atom
DFT formation energy = 0.20 eV per atom

Cell: 4.894 4.894 5.100 Å, 90.00 90.00 90.00°
Space group P4/mmm (No. 123)
Symmetry-distinct sites (fractional):
Nd1 0.000 0.500 0.000 (multiplicity 2)
Hf1 0.000 0.000 0.500 (multiplicity 1)
Th1 0.500 0.500 0.500 (multiplicity 1)


# Cs7Hg3

A geometry-optimized Cs7Hg3 structure (GGA-PBE, the Alexandria database).

Results
calculated total energy = -0.834 eV/atom
DFT formation energy = -0.15 eV per atom

Cell: 13.7070 13.7070 8.7220 Å, 90.00 90.00 120.00°
Space group P6_3mc (No. 186)
Symmetry-distinct sites (fractional):
Cs1 0.0807 0.5404 0.0000 (multiplicity 6)
Cs2 0.1237 0.2473 0.3006 (multiplicity 6)
Cs3 0.3333 0.6667 0.5188 (multiplicity 2)
Hg1 0.1893 0.3786 0.7295 (multiplicity 6)


# Cs3AlAs

A geometry-optimized Cs3AlAs structure (GGA-PBE, the Alexandria database).

Results
calculated total energy = -1.851 eV/atom
DFT formation energy = 0.34 eV per atom

Cell: 7.017 7.017 7.017 Å, 90.00 90.00 90.00°
Space group Pm-3m (No. 221)
Symmetry-distinct sites (fractional):
Cs1 0.000 0.000 0.500 (multiplicity 3)
Al1 0.500 0.500 0.500 (multiplicity 1)
As1 0.000 0.000 0.000 (multiplicity 1)


# Nd2BeAsPt6

A geometry-optimized Nd2BeAsPt6 structure (GGA-PBE, the Alexandria database).

Results
calculated total energy = -6.020 eV/atom
DFT formation energy = -0.60 eV per atom

Cell: 9.187 9.187 9.187 Å, 90.00 90.00 90.00°
Space group Fm-3m (No. 225)
Symmetry-distinct sites (fractional):
Nd1 0.250 0.250 0.250 (multiplicity 8)
Be1 0.000 0.000 0.000 (multiplicity 4)
As1 0.000 0.000 0.500 (multiplicity 4)
Pt1 0.000 0.000 0.237 (multiplicity 24)


# BPtF2

A geometry-optimized BPtF2 structure (GGA-PBE, the Alexandria database).

Results
calculated total energy = -4.862 eV/atom
formation energy from raw total energies = -746 meV/atom

Cell: 2.6532 2.6532 30.3928 Å, 90.00 90.00 120.00°
Space group R-3m (No. 166, hexagonal axes)
Symmetry-distinct sites (fractional):
B1 0.0000 0.0000 0.0000 (multiplicity 3)
Pt1 0.0000 0.0000 0.5000 (multiplicity 3)
F1 0.0000 0.0000 0.0439 (multiplicity 6)


# TaNi2PN

A geometry-optimized TaNi2PN structure (GGA-PBE, the Alexandria database).

Results
calculated total energy = -5.316 eV/atom
formation energy from raw total energies = 2114 meV/atom

Cell: 4.667 4.667 4.748 Å, 90.00 90.00 90.00°
Space group P4/mmm (No. 123)
Symmetry-distinct sites (fractional):
Ta1 0.000 0.000 0.000 (multiplicity 1)
Ni1 0.000 0.500 0.000 (multiplicity 2)
P1 0.000 0.000 0.500 (multiplicity 1)
N1 0.500 0.500 0.500 (multiplicity 1)


# NaSi2BTe

A geometry-optimized NaSi2BTe structure (GGA-PBE, the Alexandria database).

Results
calculated total energy = -2.635 eV/atom
formation energy from raw total energies = 1762 meV/atom

Cell: 5.088 5.088 4.517 Å, 90.00 90.00 90.00°
Space group P4/mmm (No. 123)
Symmetry-distinct sites (fractional):
Na1 0.000 0.000 0.000 (multiplicity 1)
Si1 0.000 0.500 0.000 (multiplicity 2)
B1 0.000 0.000 0.500 (multiplicity 1)
Te1 0.500 0.500 0.500 (multiplicity 1)


# KPuVCl6

A geometry-optimized KPuVCl6 structure (GGA-PBE, the Alexandria database).

Results
calculated total energy = -5.652 eV/atom
formation energy from raw total energies = -1693 meV/atom

Cell: 6.7619 6.7619 13.9789 Å, 90.00 90.00 120.00°
Space group P-31c (No. 163)
Symmetry-distinct sites (fractional):
K1 0.0000 0.0000 0.0000 (multiplicity 2)
Pu1 0.3333 0.6667 0.2500 (multiplicity 2)
V1 0.3333 0.6667 0.7500 (multiplicity 2)
Cl1 0.0318 0.3785 0.6452 (multiplicity 12)


# MgTcIr

A geometry-optimized MgTcIr structure (GGA-PBE, the Alexandria database).

Results
calculated total energy = -6.775 eV/atom
DFT formation energy = 0.17 eV per atom

Cell: 5.974 5.974 5.974 Å, 90.00 90.00 90.00°
Space group F-43m (No. 216)
Symmetry-distinct sites (fractional):
Mg1 0.000 0.000 0.000 (multiplicity 4)
Tc1 0.000 0.000 0.500 (multiplicity 4)
Ir1 0.250 0.250 0.250 (multiplicity 4)


# LiTh2PaAs4

A geometry-optimized LiTh2PaAs4 structure (GGA-PBE, the Alexandria database).

Results
calculated total energy = -6.690 eV/atom
DFT formation energy = -1.08 eV per atom

Cell: 7.165 4.211 7.182 Å, 90.00 109.58 90.00°
Space group P2/m (No. 10)
Symmetry-distinct sites (fractional):
Li1 0.000 0.000 0.000 (multiplicity 1)
Th1 0.000 0.500 0.500 (multiplicity 1)
Th2 0.500 0.000 0.500 (multiplicity 1)
Pa1 0.500 0.500 0.000 (multiplicity 1)
As1 0.250 0.500 0.238 (multiplicity 2)
As2 0.253 0.000 0.765 (multiplicity 2)


# U2GaTc

A geometry-optimized U2GaTc structure (GGA-PBE, the Alexandria database).

Results
calculated total energy = -9.033 eV/atom
DFT formation energy = -0.04 eV per atom

Cell: 3.047 3.047 8.344 Å, 90.00 90.00 90.00°
Space group P4/mmm (No. 123)
Symmetry-distinct sites (fractional):
U1 0.000 0.000 0.229 (multiplicity 2)
Ga1 0.500 0.500 0.500 (multiplicity 1)
Tc1 0.500 0.500 0.000 (multiplicity 1)


# KMn

A geometry-optimized KMn structure (GGA-PBE, the Alexandria database).

Results
calculated total energy = -3.917 eV/atom
DFT formation energy = 1.22 eV per atom

Cell: 12.2836 12.2836 3.2551 Å, 90.00 90.00 120.00°
Space group P6_3/mmc (No. 194)
Symmetry-distinct sites (fractional):
K1 0.1911 0.3821 0.2500 (multiplicity 6)
Mn1 0.0575 0.5287 0.7500 (multiplicity 6)


# PrGa8Ni4

A geometry-optimized PrGa8Ni4 structure (GGA-PBE, the Alexandria database).

Results
calculated total energy = -4.432 eV/atom
DFT formation energy = -0.42 eV per atom

Cell: 8.690 8.690 5.188 Å, 90.00 90.00 90.00°
Space group I4/mmm (No. 139)
Symmetry-distinct sites (fractional):
Pr1 0.000 0.000 0.000 (multiplicity 2)
Ga1 0.000 0.225 0.500 (multiplicity 8)
Ga2 0.000 0.345 0.000 (multiplicity 8)
Ni1 0.250 0.250 0.250 (multiplicity 8)